Below is a relaxed CaHo2Ga4 crystal, with properties calculated at the PBE-GGA level.

Structure (extended XYZ):
```
7
Lattice="4.038 0.000 -0.921 -0.224 4.199 -0.981 0.077 0.039 9.653" Properties=species:S:1:pos:R:3 pbc="T T T"
Ca 2.019 0.000 -0.460
Ho 3.154 3.444 4.520
Ho 0.737 0.794 3.231
Ga 2.502 2.740 1.658
Ga 1.389 1.497 6.093
Ga 0.157 2.390 0.690
Ga 3.734 1.848 7.061
```

Results
**Energy of formation**: -371 kJ/mol of formula units
**Size of the total moment**: 0.000 μB per atom
**Space group**: Immm, No. 71
**Fermi-level density of states**: 5.369 states/eV/f.u.

***

Below is a relaxed LiScTe3 crystal, with properties calculated at the PBE-GGA level.

Structure (extended XYZ):
```
5
Lattice="5.091 0.000 0.000 0.000 5.091 0.000 0.000 0.000 5.091" Properties=species:S:1:pos:R:3 pbc="T T T"
Sc 2.545 2.545 2.545
Te 0.000 2.545 0.000
Te 0.000 0.000 2.545
Te 2.545 0.000 0.000
Li 0.000 0.000 0.000
```

Results
**Energy above the lowest structure with this stoichiometry**: 729 meV per atom
**Size of the total moment**: 0.000 μB per atom
**Space group**: Pm-3m, No. 221
**ΔE_f (raw)**: -0.094 eV per atom
**Fermi-level density of states**: 5.037 states/eV/f.u.

***

Below is a relaxed MoIr2Cl crystal, with properties calculated at the PBE-GGA level.

Structure (extended XYZ):
```
4
Lattice="-3.862 -0.620 -2.065 -0.095 -0.583 -4.383 -0.996 -3.967 -1.682" Properties=species:S:1:pos:R:3 pbc="T T T"
Cl -2.476 -2.585 -4.065
Ir 0.000 0.000 0.000
Ir -3.714 -3.878 -6.098
Mo -1.238 -1.293 -2.033
```

Results
**Energy above the lowest structure with this stoichiometry**: 489 meV per atom
**Size of the total moment**: 0.001 μB per atom
**Space group**: F-43m, No. 216
**ΔE_f (raw)**: 0.694 eV per atom
**Fermi-level density of states**: 5.074 states/eV/f.u.

***

Below is a relaxed Ir2RuI2 crystal, with properties calculated at the PBE-GGA level.

Structure (extended XYZ):
```
5
Lattice="-0.788 -5.187 -1.332 0.865 -1.452 5.142 -3.600 -2.951 2.621" Properties=species:S:1:pos:R:3 pbc="T T T"
I -2.175 -5.728 1.597
I -1.348 -3.861 4.834
Ru 0.000 0.000 0.000
Ir -1.171 -3.197 2.143
Ir -2.352 -6.393 4.288
```

Results
**Energy above the lowest structure with this stoichiometry**: 161 meV per atom
**Size of the total moment**: 0.000 μB per atom
**Space group**: I4/mmm, No. 139
**ΔE_f (raw)**: 1.271 eV per atom
**Fermi-level density of states**: 4.121 states/eV/f.u.

***

Below is a relaxed CrReSb2 crystal, with properties calculated at the PBE-GGA level.

Structure (extended XYZ):
```
4
Lattice="-3.361 -3.938 -4.315 1.680 -4.364 -4.853 0.360 2.344 6.308" Properties=species:S:1:pos:R:3 pbc="T T T"
Cr -0.750 -3.705 -4.090
Re 0.654 -2.819 -1.269
Sb -0.070 -0.348 -0.384
Sb -1.995 -3.238 -1.699
```

Results
**Energy above the lowest structure with this stoichiometry**: 247 meV per atom
**Size of the total moment**: 0.682 μB per atom
**Space group**: Imm2, No. 44
**ΔE_f (raw)**: 0.469 eV per atom
**Fermi-level density of states**: 2.570 states/eV/f.u.

***

Below is a relaxed Pr2ErH12Rh3 crystal, with properties calculated at the PBE-GGA level.

Structure (extended XYZ):
```
18
Lattice="-0.550 5.376 2.809 -2.637 4.333 -3.372 -5.688 1.377 1.688" Properties=species:S:1:pos:R:3 pbc="T T T"
Pr -5.467 6.829 0.693
Pr -3.408 4.258 0.432
Er 0.000 0.000 0.000
H -5.925 4.033 1.319
H -5.087 8.991 0.200
H -7.452 7.151 -0.316
H -2.904 6.384 1.979
H -6.492 7.631 2.529
H -4.131 5.771 -1.655
H -2.950 7.054 -0.194
H -3.788 2.095 0.925
H -1.423 3.936 1.441
H -5.971 4.702 -0.854
H -2.383 3.456 -1.403
H -4.745 5.315 2.781
Rh -0.275 2.688 1.405
Rh -1.318 2.167 -1.686
Rh -2.844 0.689 0.844
```

Results
**Size of the total moment**: 0.052 μB per atom
**Space group**: R-3m, No. 166
**Total energy**: -4.633 eV/atom
**Fermi-level density of states**: 4.863 states/eV/f.u.

***

Q: The lowest Fermi-level density of states belongs to which entry?
A: CrReSb2